No. 1
DFT (GGA-PBE) results for a relaxed structure of Li4Mg5Cd.

Summary:
energy above the most stable polymorph in this dataset: 0.000 eV/atom
VASP energy: -1.730 eV per atom
ΔH_f (0 K): -0.76 eV per formula unit

abc: 14.2498 4.8676 6.0013
angles: 90.00 96.70 90.00
Space group C2/m (No. 12)
Unique sites:
Li 0.0980 0.0000 0.1983 (multiplicity 4)
Li 0.1991 0.5000 0.3922 (multiplicity 4)
Mg 0.0000 0.5000 0.5000 (multiplicity 2)
Mg 0.0990 0.0000 0.7023 (multiplicity 4)
Mg 0.2004 0.5000 0.8965 (multiplicity 4)
Cd 0.0000 0.5000 0.0000 (multiplicity 2)

***

No. 2
DFT (GGA-PBE) results for a relaxed structure of Mn2AsIr.

Summary:
VASP energy: -7.948 eV per atom
ΔH_f (0 K): 0.06 eV per formula unit

abc: 2.8495 3.7726 5.2482
angles: 90.00 90.20 90.00
Space group P2/m (No. 10)
Unique sites:
Mn 0.0019 0.0000 0.2441 (multiplicity 2)
As 0.5000 0.5000 0.5000 (multiplicity 1)
Ir 0.5000 0.5000 0.0000 (multiplicity 1)

***

No. 3
DFT (GGA-PBE) results for a relaxed structure of SiNiTe2.

Summary:
VASP energy: -3.936 eV per atom
formation energy from raw total energies: 0.4356 eV/atom

abc: 3.8818 6.0021 7.5318
angles: 90.00 90.00 90.00
Space group Cmmm (No. 65)
Unique sites:
Si 0.0000 0.0000 0.0000 (multiplicity 2)
Ni 0.0000 0.0000 0.5000 (multiplicity 2)
Te 0.0000 0.5000 0.2721 (multiplicity 4)

***

No. 4
DFT (GGA-PBE) results for a relaxed structure of CsTl2Ag2Cl7.

Summary:
VASP energy: -2.899 eV per atom
formation energy from raw total energies: -0.8810 eV/atom

abc: 7.3674 7.3651 13.4329
angles: 90.00 105.82 90.00
Space group C2/m (No. 12)
Unique sites:
Cs 0.0000 0.0000 0.0000 (multiplicity 2)
Tl 0.1882 0.0000 0.3647 (multiplicity 4)
Ag 0.0990 0.5000 0.1996 (multiplicity 4)
Cl 0.0000 0.5000 0.0000 (multiplicity 2)
Cl 0.1508 0.2495 0.8008 (multiplicity 8)
Cl 0.1930 0.5000 0.3970 (multiplicity 4)

***

No. 5
DFT (GGA-PBE) results for a relaxed structure of RbSr2ZnPt.

Summary:
VASP energy: -2.601 eV per atom
ΔH_f (0 K): -1.36 eV per formula unit

abc: 6.0243 6.0243 5.1681
angles: 90.00 90.00 90.00
Space group P4/mmm (No. 123)
Unique sites:
Rb 0.0000 0.0000 0.0000 (multiplicity 1)
Sr 0.0000 0.5000 0.5000 (multiplicity 2)
Zn 0.5000 0.5000 0.0000 (multiplicity 1)
Pt 0.5000 0.5000 0.5000 (multiplicity 1)

***

No. 6
DFT (GGA-PBE) results for a relaxed structure of CdFePb2.

Summary:
VASP energy: -3.820 eV per atom
ΔH_f (0 K): 1.52 eV per formula unit

abc: 3.4378 3.4378 28.1888
angles: 90.00 90.00 120.00
Space group R-3m (No. 166, hexagonal axes)
Unique sites:
Cd 0.0000 0.0000 0.0000 (multiplicity 3)
Fe 0.0000 0.0000 0.5000 (multiplicity 3)
Pb 0.0000 0.0000 0.2369 (multiplicity 6)

***

No. 7
DFT (GGA-PBE) results for a relaxed structure of BeSnF4.

Summary:
energy above the most stable polymorph in this dataset: 0.000 eV/atom
VASP energy: -5.318 eV per atom
formation energy from raw total energies: -2.7824 eV/atom

abc: 4.9456 7.1419 5.1553
angles: 90.00 95.74 90.00
Space group P2_1/m (No. 11)
Unique sites:
Be 0.2214 0.2500 0.1113 (multiplicity 2)
Sn 0.2947 0.7500 0.3597 (multiplicity 2)
F 0.0964 0.7500 0.9475 (multiplicity 2)
F 0.3223 0.0757 0.2760 (multiplicity 4)
F 0.3340 0.2500 0.8338 (multiplicity 2)

***

No. 8
DFT (GGA-PBE) results for a relaxed structure of DyEr3Hg6.

Summary:
VASP energy: -2.431 eV per atom
ΔH_f (0 K): -4.21 eV per formula unit

abc: 9.1072 5.1284 11.0442
angles: 90.00 106.66 90.00
Space group P2_1/m (No. 11)
Unique sites:
Dy 0.0622 0.2500 0.3895 (multiplicity 2)
Er 0.2309 0.2500 0.0071 (multiplicity 2)
Er 0.3531 0.7500 0.8000 (multiplicity 2)
Er 0.4820 0.2500 0.6120 (multiplicity 2)
Hg 0.0637 0.7500 0.8998 (multiplicity 2)
Hg 0.1400 0.7500 0.2011 (multiplicity 2)
Hg 0.1645 0.2500 0.6892 (multiplicity 2)
Hg 0.2462 0.7500 0.5125 (multiplicity 2)
Hg 0.3519 0.2500 0.2980 (multiplicity 2)
Hg 0.4639 0.7500 0.0917 (multiplicity 2)

***

No. 9
DFT (GGA-PBE) results for a relaxed structure of Y2CdHgF.

Summary:
VASP energy: -3.298 eV per atom
formation energy from raw total energies: -0.0942 eV/atom

abc: 5.7232 5.7232 5.2283
angles: 90.00 90.00 90.00
Space group P4/mmm (No. 123)
Unique sites:
Y 0.0000 0.5000 0.0000 (multiplicity 2)
Cd 0.0000 0.0000 0.5000 (multiplicity 1)
Hg 0.0000 0.0000 0.0000 (multiplicity 1)
F 0.5000 0.5000 0.5000 (multiplicity 1)

***

No. 10
DFT (GGA-PBE) results for a relaxed structure of GeC3Cl.

Summary:
energy above the most stable polymorph in this dataset: 0.477 eV/atom
VASP energy: -3.439 eV per atom
formation energy from raw total energies: 3.3884 eV/atom

abc: 3.8844 3.8844 3.8844
angles: 90.00 90.00 90.00
Space group Pm-3m (No. 221)
Unique sites:
Ge 0.0000 0.0000 0.0000 (multiplicity 1)
C 0.0000 0.5000 0.5000 (multiplicity 3)
Cl 0.5000 0.5000 0.5000 (multiplicity 1)

***

No. 11
DFT (GGA-PBE) results for a relaxed structure of NaAlTe2.

Summary:
VASP energy: -3.183 eV per atom
formation energy from raw total energies: -0.3470 eV/atom

abc: 4.2512 4.2512 5.9135
angles: 90.00 90.00 90.00
Space group P4/mmm (No. 123)
Unique sites:
Na 0.0000 0.0000 0.0000 (multiplicity 1)
Al 0.5000 0.5000 0.5000 (multiplicity 1)
Te 0.0000 0.0000 0.5000 (multiplicity 1)
Te 0.5000 0.5000 0.0000 (multiplicity 1)

***

No. 12
DFT (GGA-PBE) results for a relaxed structure of Tb4ErSc.

Summary:
energy above the most stable polymorph in this dataset: 0.093 eV/atom
VASP energy: -4.777 eV per atom
ΔH_f (0 K): 0.75 eV per formula unit

abc: 11.1074 5.7469 5.7535
angles: 90.00 90.01 90.00
Space group C2/m (No. 12)
Unique sites:
Tb 0.1593 0.0000 0.0010 (multiplicity 4)
Tb 0.1604 0.5000 0.4989 (multiplicity 4)
Er 0.0000 0.5000 0.0000 (multiplicity 2)
Sc 0.0000 0.0000 0.5000 (multiplicity 2)

***

| no. | magnetic moment (Bohr magnetons per cell) | mass density (kg/m³) |
| --- | --- | --- |
| 1 | 0.0 | 2102 |
| 2 | 6.1 | 11097 |
| 3 | 0.0 | 6472 |
| 4 | 0.0 | 4762 |
| 5 | 0.0 | 4614 |
| 6 | 6.2 | 10060 |
| 7 | 0.0 | 3734 |
| 8 | 0.0 | 12553 |
| 9 | 0.5 | 4943 |
| 10 | 0.0 | 4083 |
| 11 | 0.0 | 4742 |
| 12 | 0.0 | 7667 |